No. 1
! Re2PtSe, relaxed, DFT PBE-GGA; values from VASP
! ΔE_f (raw) = 0.801 eV per atom
! total energy = -7.8040 eV per atom
&SYSTEM
  ibrav = 0, nat = 4, ntyp = 3
/
ATOMIC_SPECIES
Re 186.21 Re.upf
Pt 195.08 Pt.upf
Se 78.96 Se.upf
ATOMIC_POSITIONS angstrom
Re 0.000 0.000 0.000
Re 0.000 1.926 1.926
Pt 2.137 0.000 1.926
Se 2.137 1.926 0.000
CELL_PARAMETERS angstrom
4.273 0.000 0.000
0.000 3.852 0.000
0.000 0.000 3.852


No. 2
! Re2PtSe, relaxed, DFT PBE-GGA; values from VASP
! ΔE_f (raw) = 0.398 eV per atom
! total energy = -8.2073 eV per atom
&SYSTEM
  ibrav = 0, nat = 4, ntyp = 3
/
ATOMIC_SPECIES
Re 186.21 Re.upf
Pt 195.08 Pt.upf
Se 78.96 Se.upf
ATOMIC_POSITIONS angstrom
Re -2.005 -3.563 1.875
Re -7.164 -2.566 -2.484
Pt -2.569 -0.773 -1.024
Se -4.853 -1.788 -1.639
CELL_PARAMETERS angstrom
-4.476 1.079 -1.780
-3.177 -0.672 -3.719
-2.045 -3.720 1.990